Density functional theory data (PBE with a Hubbard U) for an optimized crystal structure of NbFeHgF2.

Lattice parameters (Å, degrees): 3.994 6.609 3.994 90.00 90.00 90.00
Each line ends with the local moment (μB).
Sites, in units of the cell vectors:
Nb: 0.500 0.500 0.500  2.35
F: 0.000 0.000 0.500  0.08
F: 0.500 0.000 0.000  0.10
Hg: 0.000 0.500 0.000  0.16
Fe: 0.000 0.000 0.000  3.88

- magnetic moment (Bohr magnetons per cell) = 7.51
- DOS(E_F) (states/eV/f.u.) = 4.69
- VASP energy (eV per atom) = -4.5220